La3Zn2Si4Ag2 | OQMD | PBE | optimized geometry; V = 21.39 Å³ per atom; magnetization = 0.00 μB/f.u.; total energy = -4.602 eV/atom; calculated density = 6.18 g/cm³
1.0
-2.125 2.177 12.715
2.125 -2.177 12.715
2.125 2.177 -12.715
La Zn Si Ag
3 2 4 2
Cartesian
0.000 0.000 0.000
2.125 0.000 8.926
0.000 2.177 3.789
0.000 0.000 6.355
0.000 0.000 19.075
2.125 0.000 4.952
0.000 0.000 11.526
0.000 0.000 13.904
0.000 2.177 7.763
2.125 0.000 2.442
0.000 2.177 10.273

LaSmAg | OQMD | PBE | optimized geometry; V = 29.75 Å³ per atom; DFT formation energy = 35 kJ/mol of atoms; magnetization = 0.00 μB/f.u.; total energy = -3.787 eV/atom; calculated density = 7.39 g/cm³
1.0
0.000 3.547 3.547
3.547 0.000 3.547
3.547 3.547 0.000
La Sm Ag
1 1 1
Cartesian
0.000 0.000 0.000
5.320 5.320 5.320
3.547 3.547 3.547

LaTb2Ag4Sn4 | OQMD | PBE | optimized geometry; V = 24.07 Å³ per atom; magnetization = 0.01 μB/f.u.; total energy = -4.312 eV/atom; calculated density = 8.55 g/cm³
1.0
-2.288 3.756 7.704
2.288 -3.756 7.704
2.288 3.756 -7.704
La Tb Ag Sn
1 2 4 4
Cartesian
0.000 0.000 0.000
2.288 0.000 5.735
0.000 3.756 1.969
2.288 1.473 -2.629
2.288 1.473 2.629
0.000 2.282 5.075
0.000 2.282 10.334
0.000 0.000 3.373
2.288 2.331 0.000
0.000 1.425 7.704
0.000 0.000 12.036

LaYAg2Sn2 | OQMD | PBE | optimized geometry; V = 25.05 Å³ per atom; magnetization = 0.02 μB/f.u.; total energy = -4.810 eV/atom; calculated density = 7.52 g/cm³
1.0
4.781 0.000 0.000
-2.390 4.140 0.000
0.000 0.000 7.592
La Y Ag Sn
1 1 2 2
Cartesian
0.000 0.000 0.000
0.000 0.000 3.811
0.000 2.760 5.209
2.390 1.380 1.680
0.000 2.760 2.182
2.390 1.380 5.867

LaTaAg | OQMD | PBE | optimized geometry; polymorph energy (0 for the lowest one) = 0.464 eV/atom; V = 27.54 Å³ per atom; DFT formation energy = 134 kJ/mol of atoms; magnetization = 1.53 μB/f.u.; total energy = -5.146 eV/atom; calculated density = 8.60 g/cm³
1.0
0.000 3.457 3.457
3.457 0.000 3.457
3.457 3.457 0.000
La Ta Ag
1 1 1
Cartesian
0.000 0.000 0.000
1.728 1.728 1.728
5.185 5.185 5.185

LaTaAg | OQMD | PBE | optimized geometry; polymorph energy (0 for the lowest one) = 0.000 eV/atom; V = 26.76 Å³ per atom; DFT formation energy = 89 kJ/mol of atoms; magnetization = 2.24 μB/f.u.; total energy = -5.609 eV/atom; calculated density = 8.85 g/cm³
1.0
0.000 3.424 3.424
3.424 0.000 3.424
3.424 3.424 0.000
La Ta Ag
1 1 1
Cartesian
0.000 0.000 0.000
3.424 3.424 3.424
1.712 1.712 1.712

LaTb2Ag2 | OQMD | PBE | optimized geometry; V = 28.94 Å³ per atom; DFT formation energy = -8 kJ/mol of atoms; magnetization = 0.02 μB/f.u.; total energy = -4.054 eV/atom; calculated density = 7.72 g/cm³
1.0
-2.509 2.509 11.493
2.509 -2.509 11.493
2.509 2.509 -11.493
La Tb Ag
2 4 4
Cartesian
0.000 0.000 2.988
0.000 0.000 19.997
2.509 0.000 0.000
0.000 0.000 7.176
0.000 2.509 0.000
0.000 0.000 15.809
2.509 0.000 5.746
0.000 0.000 9.938
0.000 0.000 13.047
0.000 2.509 5.746

LaTbAg2 | OQMD | PBE | optimized geometry; V = 25.74 Å³ per atom; DFT formation energy = -29 kJ/mol of atoms; magnetization = 0.11 μB/f.u.; total energy = -4.099 eV/atom; calculated density = 8.28 g/cm³
1.0
3.681 0.000 0.000
0.000 3.681 0.000
0.000 0.000 7.599
La Tb Ag
1 1 2
Cartesian
0.000 0.000 0.000
0.000 0.000 3.800
1.841 1.841 2.090
1.841 1.841 5.510

LaAgTe | OQMD | PBE | optimized geometry; polymorph energy (0 for the lowest one) = 0.241 eV/atom; V = 31.98 Å³ per atom; magnetization = 0.00 μB/f.u.; total energy = -4.110 eV/atom; calculated density = 6.48 g/cm³
1.0
0.000 3.634 3.634
3.634 0.000 3.634
3.634 3.634 0.000
La Ag Te
1 1 1
Cartesian
0.000 0.000 0.000
3.634 3.634 3.634
5.450 5.450 5.450

LaAgTe | OQMD | PBE | optimized geometry; polymorph energy (0 for the lowest one) = 0.000 eV/atom; V = 33.88 Å³ per atom; magnetization = 0.00 μB/f.u.; total energy = -4.351 eV/atom; calculated density = 6.12 g/cm³
1.0
0.000 3.704 3.704
3.704 0.000 3.704
3.704 3.704 0.000
La Ag Te
1 1 1
Cartesian
0.000 0.000 0.000
5.556 5.556 5.556
1.852 1.852 1.852

LaAg3Te3 | OQMD | PBE | optimized geometry; V = 29.28 Å³ per atom; magnetization = 0.00 μB/f.u.; total energy = -3.906 eV/atom; calculated density = 6.85 g/cm³
1.0
3.997 2.308 7.406
-3.997 2.308 7.406
0.000 -4.616 7.406
La Ag Te
2 6 6
Cartesian
0.000 0.000 3.693
0.000 0.000 18.524
-2.854 0.022 8.328
-1.447 -2.461 13.889
1.408 -2.483 8.328
-1.408 2.483 13.889
1.447 2.461 8.328
2.854 -0.022 13.889
-1.285 -2.201 9.380
-2.549 0.013 12.837
-1.263 2.214 9.380
1.263 -2.214 12.837
2.549 -0.013 9.380
1.285 2.201 12.837

LaTlAg2 | OQMD | PBE | optimized geometry; polymorph energy (0 for the lowest one) = 0.119 eV/atom; V = 24.69 Å³ per atom; magnetization = 0.01 μB/f.u.; total energy = -3.394 eV/atom; calculated density = 9.40 g/cm³
1.0
5.203 0.000 0.000
-2.602 4.506 0.000
0.000 0.000 8.424
La Tl Ag
2 2 4
Cartesian
0.000 0.000 0.000
0.000 0.000 4.212
0.000 3.004 2.106
2.602 1.502 6.318
0.000 3.004 5.002
0.000 3.004 7.634
2.602 1.502 0.790
2.602 1.502 3.422